CeDy2TmN4 | the Alexandria database | PBE-GGA | relaxed; formation energy from raw total energies = -13.4 eV/f.u.
1.0
3.482 0.000 0.000
0.000 6.012 0.114
0.000 -2.095 5.638
Ce Dy Tm N
1 2 1 4
direct
0.500 0.500 0.000
0.500 0.000 0.500
0.000 0.500 0.500
0.000 0.000 0.000
0.500 0.248 0.245
0.500 0.752 0.755
0.000 0.248 0.752
0.000 0.752 0.248



AlSbCl2 | the Alexandria database | PBE-GGA | relaxed; formation energy from raw total energies = -1.0 eV/f.u.
1.0
1.910 0.000 9.505
-0.955 1.654 9.505
-0.955 -1.654 9.505
Sb Al Cl
1 1 2
direct
0.500 0.500 0.500
0.000 0.000 0.000
0.918 0.918 0.918
0.082 0.082 0.082



Pr4InGa2 | the Alexandria database | PBE-GGA | relaxed; formation energy = -198 kJ/mol of formula units
1.0
5.289 0.000 0.000
2.645 4.580 0.000
2.645 1.527 9.027
Pr In Ga
4 1 2
direct
0.380 0.380 0.859
0.209 0.209 0.372
0.791 0.791 0.628
0.620 0.620 0.141
0.000 0.000 0.000
0.099 0.099 0.702
0.901 0.901 0.298



Y2InNi2 | the Alexandria database | PBE-GGA | relaxed; formation energy = -123 kJ/mol of formula units
1.0
3.487 0.000 0.000
0.000 3.487 0.000
1.744 1.744 8.881
Y Ni In
2 2 1
direct
0.372 0.372 0.255
0.628 0.628 0.745
0.750 0.250 0.500
0.250 0.750 0.500
0.000 0.000 0.000